Version a
The following is a PBE with a Hubbard U calculation of a geometry-optimized MnGeI2O structure, from Alexandria.

Structure (CIF):
```
data_MnGeI2O
_space_group_name_H-M_alt 'P 4/m m m'
_space_group_IT_number 123
_space_group_name_Hall '-P 4 2'
_cell_length_a 5.949
_cell_length_b 5.949
_cell_length_c 3.805
_cell_angle_alpha 90.00
_cell_angle_beta 90.00
_cell_angle_gamma 90.00
loop_
_atom_site_label
_atom_site_type_symbol
_atom_site_fract_x
_atom_site_fract_y
_atom_site_fract_z
_atom_site_occupancy
Mn1 Mn 0.000 0.000 0.000 1
Ge1 Ge 0.500 0.500 0.500 1
I1 I 0.000 0.500 0.500 1
O1 O 0.500 0.500 0.000 1
```

Properties
* N(E_F): 1.4 states/eV per cell

Version b
The following is a PBE with a Hubbard U calculation of a geometry-optimized MnGeI2O structure, from Alexandria.

Structure (CIF):
```
data_MnGeI2O
_space_group_name_H-M_alt 'P 4/m m m'
_space_group_IT_number 123
_space_group_name_Hall '-P 4 2'
_cell_length_a 5.776
_cell_length_b 5.776
_cell_length_c 3.759
_cell_angle_alpha 90.00
_cell_angle_beta 90.00
_cell_angle_gamma 90.00
loop_
_atom_site_label
_atom_site_type_symbol
_atom_site_fract_x
_atom_site_fract_y
_atom_site_fract_z
_atom_site_occupancy
Mn1 Mn 0.000 0.000 0.000 1
Ge1 Ge 0.500 0.500 0.500 1
I1 I 0.000 0.500 0.000 1
O1 O 0.000 0.000 0.500 1
```

Properties
* N(E_F): 1.8 states/eV per cell

Which structure loses on stability? version a does.